# GGA-PBEsol KAl2Tc, relaxed
data_KAl2Tc
_chemical_formula_sum 'K4 Al8 Tc4'
_cell_length_a 6.578
_cell_length_b 6.578
_cell_length_c 6.578
_cell_angle_alpha 90.00
_cell_angle_beta 90.00
_cell_angle_gamma 90.00
_space_group_name_H-M_alt 'F -4 3 m'
_space_group_IT_number 216
_space_group_name_Hall 'F -4 2 3'
loop_
_atom_site_label
_atom_site_type_symbol
_atom_site_fract_x
_atom_site_fract_y
_atom_site_fract_z
_atom_site_occupancy
K1 K 0.000 0.000 0.000 1
Al1 Al 0.000 0.000 0.500 1
Al2 Al 0.250 0.250 0.250 1
Tc1 Tc 0.250 0.250 0.750 1
# D(E_F) ... 0.117 states/eV/atom
# DFT formation energy ... 0.93 eV per atom
# DFT total energy ... -67.5 eV/cell
# Energy above the lowest structure with this stoichiometry ... 3.25 eV/f.u.